# 1
Entry from Alexandria via LeMat-Bulk: an optimized crystal structure of Na4Np3BeSe8 (PBE).

The structure in extended XYZ format:
```
16
Lattice="7.166 -4.066 0.000 7.166 4.066 0.000 -4.739 0.000 6.946" Properties=species:S:1:pos:R:3 pbc="T T T"
Na 0.000 0.000 0.000
Na 3.583 2.033 0.000
Na 3.583 -2.033 0.000
Na 7.166 0.000 0.000
Np -2.369 0.000 3.473
Np 1.214 2.033 3.473
Np 1.214 -2.033 3.473
Be 4.796 0.000 3.473
Se 0.010 0.000 5.095
Se 2.330 0.000 1.819
Se 3.723 1.796 4.901
Se 5.870 1.796 2.045
Se 3.723 -1.796 4.901
Se 5.870 -1.796 2.045
Se 7.263 0.000 5.127
Se 9.583 0.000 1.851
```

Output
SG = No. 12
Energy relative to the elements, uncorrected = -1.03 eV per atom

---

# 2
Entry from Alexandria via LeMat-Bulk: an optimized crystal structure of Cr2HgC (PBE).

The structure in extended XYZ format:
```
16
Lattice="6.256 0.000 0.000 0.000 6.256 0.000 0.000 0.000 6.293" Properties=species:S:1:pos:R:3 pbc="T T T"
Cr 0.872 1.564 0.787
Cr 1.564 4.000 2.360
Cr 1.564 5.384 5.506
Cr 2.256 1.564 3.933
Cr 4.000 4.692 3.933
Cr 4.692 0.872 5.506
Cr 4.692 2.256 2.360
Cr 5.384 4.692 0.787
Hg 0.000 0.000 3.146
Hg 0.000 3.128 4.719
Hg 3.128 0.000 1.573
Hg 3.128 3.128 0.000
C 0.000 0.000 0.000
C 0.000 3.128 1.573
C 3.128 0.000 4.719
C 3.128 3.128 3.146
```

Output
SG = No. 122
ΔH_f (0 K) = 623 meV per atom

---

# 3
Entry from Alexandria via LeMat-Bulk: an optimized crystal structure of CaMgIr2 (PBE).

The structure in extended XYZ format:
```
8
Lattice="9.009 0.000 0.000 0.000 2.969 0.000 -0.987 0.000 5.475" Properties=species:S:1:pos:R:3 pbc="T T T"
Ca 0.000 0.000 0.000
Ca 4.504 1.484 0.000
Mg -0.494 1.484 2.738
Mg 4.011 0.000 2.738
Ir 1.501 0.000 3.807
Ir 2.016 1.484 1.668
Ir 6.005 1.484 3.807
Ir 6.521 0.000 1.668
```

Output
SG = No. 12
ΔH_f (0 K) = -96 meV per atom

---

# 4
Entry from Alexandria via LeMat-Bulk: an optimized crystal structure of SrAl2InBr (PBE).

The structure in extended XYZ format:
```
5
Lattice="5.402 0.000 0.000 0.000 5.402 0.000 0.000 0.000 5.822" Properties=species:S:1:pos:R:3 pbc="T T T"
Sr 0.000 0.000 0.000
Al 0.000 2.701 2.911
Al 2.701 0.000 2.911
In 2.701 2.701 0.000
Br 2.701 2.701 2.911
```

Output
SG = No. 123
Energy relative to the elements, uncorrected = 0.26 eV per atom

---

Summary of final energy in Ry/atom
-0.423; -0.483; -0.399; -0.180
(order as listed above)